Entry 1:
## Th3Zr2Bi4 (PBE-GGA)

Data for Th3Zr2Bi4 after structural relaxation.

a = 4.3408 Å, b = 8.1757 Å, c = 10.1980 Å
α = 127.30°, β = 90.00°, γ = 105.39°
Fractional positions:
Th: 0.6440 0.2879 0.7041
Th: 0.0000 0.0000 0.0000
Th: 0.3560 0.7121 0.2959
Zr: 0.6826 0.3653 0.3574
Zr: 0.3174 0.6347 0.6426
Bi: 0.6699 0.3398 0.0493
Bi: 0.3301 0.6602 0.9507
Bi: 0.9407 0.8815 0.6123
Bi: 0.0593 0.1185 0.3877

Summary:
calculated formation energy = -0.43 eV/atom
DOS at the Fermi energy = 0.540 states/eV per atom

Entry 2:
## KBa2Tl6 (PBE-GGA)

Data for KBa2Tl6 after structural relaxation.

a = 4.0189 Å, b = 9.5404 Å, c = 9.5404 Å
α = 120.00°, β = 90.00°, γ = 90.00°
Fractional positions:
K: 0.0000 0.0000 0.0000
Ba: 0.0000 0.3333 0.6667
Ba: 0.0000 0.6667 0.3333
Tl: 0.5000 0.3334 0.3334
Tl: 0.5000 0.6666 0.6666
Tl: 0.5000 0.0000 0.6666
Tl: 0.5000 0.6666 0.0000
Tl: 0.5000 0.3334 0.0000
Tl: 0.5000 0.0000 0.3334

Summary:
calculated formation energy = -0.24 eV/atom
DOS at the Fermi energy = 0.698 states/eV per atom

Entry 3:
## Li3Ag4Ge (PBE-GGA)

Data for Li3Ag4Ge after structural relaxation.

a = 2.9361 Å, b = 4.2372 Å, c = 11.3376 Å
α = 79.37°, β = 82.01°, γ = 90.01°
Fractional positions:
Ge: 0.0000 0.0000 0.0000
Ag: 0.8974 0.3975 0.1902
Ag: 0.1026 0.6025 0.8098
Ag: 0.7814 0.2794 0.4408
Ag: 0.2186 0.7206 0.5592
Li: 0.3442 0.8463 0.2983
Li: 0.6558 0.1537 0.7017
Li: 0.5000 0.5000 0.0000

Summary:
calculated formation energy = -0.11 eV/atom
energy above the lowest structure with this stoichiometry = 0.000 eV/atom
DOS at the Fermi energy = 0.226 states/eV per atom

Entry 4:
## Ti2B2MoRu5 (PBE-GGA)

Data for Ti2B2MoRu5 after structural relaxation.

a = 3.0081 Å, b = 9.3220 Å, c = 9.3220 Å
α = 90.00°, β = 90.00°, γ = 90.00°
Fractional positions:
Ti: 0.0000 0.6757 0.1757
Ti: 0.0000 0.3243 0.8243
Ti: 0.0000 0.1757 0.3243
Ti: 0.0000 0.8243 0.6757
B: 0.0000 0.1217 0.6217
B: 0.0000 0.8783 0.3783
B: 0.0000 0.6217 0.8783
B: 0.0000 0.3783 0.1217
Mo: 0.0000 0.0000 0.0000
Mo: 0.0000 0.5000 0.5000
Ru: 0.5000 0.2155 0.0736
Ru: 0.5000 0.7845 0.9264
Ru: 0.5000 0.0736 0.7845
Ru: 0.5000 0.7155 0.4264
Ru: 0.5000 0.9264 0.2155
Ru: 0.5000 0.2845 0.5736
Ru: 0.5000 0.5736 0.7155
Ru: 0.5000 0.4264 0.2845
Ru: 0.5000 0.5000 0.0000
Ru: 0.5000 0.0000 0.5000

Summary:
calculated formation energy = -0.48 eV/atom
DOS at the Fermi energy = 0.388 states/eV per atom

Entry 5:
## Ac2CdIr (PBE-GGA)

Data for Ac2CdIr after structural relaxation.

a = 4.3984 Å, b = 4.3984 Å, c = 8.6418 Å
α = 75.26°, β = 75.26°, γ = 60.00°
Fractional positions:
Ac: 0.0643 0.0643 0.8070
Ac: 0.2694 0.2694 0.1918
Cd: 0.5004 0.5004 0.4987
Ir: 0.6658 0.6658 0.0025

Summary:
calculated formation energy = -0.49 eV/atom
DOS at the Fermi energy = 0.699 states/eV per atom

Entry 6:
## Ba3Ga2Ir (PBE-GGA)

Data for Ba3Ga2Ir after structural relaxation.

a = 4.6422 Å, b = 13.6864 Å, c = 13.3748 Å
α = 90.00°, β = 90.00°, γ = 90.00°
Fractional positions:
Ba: 0.2500 0.3780 0.0839
Ba: 0.7500 0.6220 0.9161
Ba: 0.7500 0.8780 0.4161
Ba: 0.2500 0.1220 0.5839
Ba: 0.2500 0.6982 0.1961
Ba: 0.7500 0.3018 0.8039
Ba: 0.7500 0.1982 0.3039
Ba: 0.2500 0.8018 0.6961
Ba: 0.2500 0.4354 0.3986
Ba: 0.7500 0.5646 0.6014
Ba: 0.7500 0.9354 0.1014
Ba: 0.2500 0.0646 0.8986
Ga: 0.2500 0.6805 0.4391
Ga: 0.7500 0.3195 0.5609
Ga: 0.7500 0.1805 0.0609
Ga: 0.2500 0.8195 0.9391
Ga: 0.2500 0.0195 0.2665
Ga: 0.7500 0.9805 0.7335
Ga: 0.7500 0.5195 0.2335
Ga: 0.2500 0.4805 0.7665
Ir: 0.2500 0.1440 0.1308
Ir: 0.7500 0.8560 0.8692
Ir: 0.7500 0.6440 0.3692
Ir: 0.2500 0.3560 0.6308

Summary:
calculated formation energy = -0.34 eV/atom
DOS at the Fermi energy = 0.967 states/eV per atom

Entry 7:
## CrAs3C (PBE-GGA)

Data for CrAs3C after structural relaxation.

a = 4.5810 Å, b = 4.5810 Å, c = 4.5810 Å
α = 90.00°, β = 90.00°, γ = 90.00°
Site moments in Bohr magnetons follow the coordinates.
Fractional positions:
Cr: 0.0000 0.0000 0.0000  0.63
As: 0.0000 0.5000 0.0000  -0.10
As: 0.0000 0.0000 0.5000  -0.19
As: 0.5000 0.0000 0.0000  -0.10
C: 0.5000 0.5000 0.5000  0.75

Summary:
calculated formation energy = 1.50 eV/atom
energy above the lowest structure with this stoichiometry = 0.164 eV/atom
DOS at the Fermi energy = 0.470 states/eV per atom

Entry 8:
## B2HCl (PBE-GGA)

Data for B2HCl after structural relaxation.

a = 3.4272 Å, b = 3.4272 Å, c = 7.1891 Å
α = 76.21°, β = 76.21°, γ = 90.00°
Fractional positions:
H: 0.5000 0.5000 0.0000
H: 0.2500 0.7500 0.5000
B: 0.3751 0.1250 0.2500
B: 0.3749 0.6250 0.2500
B: 0.3750 0.6249 0.7500
B: 0.8750 0.6251 0.7500
Cl: 0.0000 0.0000 0.0000
Cl: 0.7500 0.2500 0.5000

Summary:
energy above the lowest structure with this stoichiometry = 0.000 eV/atom
DOS at the Fermi energy = 0.435 states/eV per atom

Entry 9:
## LiPa2Ga4 (PBE-GGA)

Data for LiPa2Ga4 after structural relaxation.

a = 4.4064 Å, b = 4.4064 Å, c = 8.0168 Å
α = 105.95°, β = 105.95°, γ = 90.00°
Fractional positions:
Li: 0.0000 0.0000 0.0000
Pa: 0.6422 0.6422 0.2844
Pa: 0.3578 0.3578 0.7156
Ga: 0.0000 0.5000 0.0000
Ga: 0.5000 0.0000 0.0000
Ga: 0.8385 0.8385 0.6769
Ga: 0.1615 0.1615 0.3231

Summary:
calculated formation energy = -0.04 eV/atom
DOS at the Fermi energy = 1.205 states/eV per atom

Entry 10:
## LiEuCd (PBE-GGA)

Data for LiEuCd after structural relaxation.

a = 3.7812 Å, b = 3.7812 Å, c = 6.1998 Å
α = 107.76°, β = 107.76°, γ = 90.00°
Site moments in Bohr magnetons follow the coordinates.
Fractional positions:
Eu: 0.9549 0.9549 0.9098  6.92
Li: 0.2524 0.2524 0.5048  0.01
Cd: 0.6427 0.6427 0.2854  -0.01

Summary:
calculated formation energy = -0.20 eV/atom
energy above the lowest structure with this stoichiometry = 0.000 eV/atom
DOS at the Fermi energy = 2.712 states/eV per atom

Entry 11:
## LiBiO2 (PBE-GGA)

Data for LiBiO2 after structural relaxation.

a = 3.4472 Å, b = 3.4472 Å, c = 6.1681 Å
α = 73.77°, β = 73.77°, γ = 60.00°
Fractional positions:
Li: 0.4798 0.4798 0.5607
Bi: 0.6682 0.6682 0.9953
O: 0.0888 0.0888 0.7337
O: 0.2632 0.2632 0.2103

Entry 12:
## SrTl3Co (PBE-GGA)

Data for SrTl3Co after structural relaxation.

a = 5.1533 Å, b = 5.1533 Å, c = 5.1533 Å
α = 90.00°, β = 90.00°, γ = 90.00°
Site moments in Bohr magnetons follow the coordinates.
Fractional positions:
Sr: 0.5000 0.5000 0.5000  0.03
Tl: 0.0000 0.5000 0.0000  0.00
Tl: 0.0000 0.0000 0.5000  0.00
Tl: 0.5000 0.0000 0.0000  -0.01
Co: 0.0000 0.0000 0.0000  0.52

Summary:
calculated formation energy = 0.00 eV/atom
DOS at the Fermi energy = 0.941 states/eV per atom

Sequential spin magnetization output: 0.0; 0.0; 0.0; 0.0; 0.0; 0.0; 1.5; 0.0; 0.0; 7.2; 0.0; 0.7 μB per formula unit
Sequential final energy output: -6.529; -2.367; -2.833; -9.114; -4.987; -3.790; -5.056; -3.557; -4.757; -4.565; -5.167; -3.178 eV/atom